[1]
KSc2Ir | PBE | optimized geometry

a = 6.979 Å, b = 4.024 Å, c = 9.326 Å
α = 90.00°, β = 104.49°, γ = 90.00°
Space group Cm (No. 8)
Unique sites:
K1 0.000 0.000 0.000 x2
Sc1 0.046 0.500 0.631 x2
Sc2 0.290 0.500 0.365 x2
Ir1 0.168 0.000 0.498 x2

## Properties
* formation enthalpy at 0 K: -104 kJ/mol of formula units
* electronic total energy: -5.93 eV per atom
* calculated volume: 126.8 Å³/f.u.
* energy above the most stable polymorph in this dataset: 0 meV/atom

***

[2]
NdZnRh | PBE | optimized geometry

a = 7.292 Å, b = 4.039 Å, c = 16.534 Å
α = 90.00°, β = 90.00°, γ = 90.00°
Space group Pnma (No. 62)
Unique sites:
Nd1 0.048 0.250 0.216 x4
Nd2 0.167 0.250 0.439 x4
Zn1 0.001 0.750 0.061 x4
Zn2 0.124 0.250 0.651 x4
Rh1 0.243 0.250 0.065 x4
Rh2 0.248 0.250 0.814 x4

## Properties
* formation enthalpy at 0 K: -188 kJ/mol of formula units
* electronic total energy: -5.11 eV per atom
* calculated volume: 60.9 Å³/f.u.

***

[3]
CeThTi4 | PBE | optimized geometry

a = 8.019 Å, b = 8.019 Å, c = 8.019 Å
α = 90.00°, β = 90.00°, γ = 90.00°
Space group F-43m (No. 216)
Unique sites:
Ce1 0.000 0.000 0.000 x4
Th1 0.250 0.250 0.750 x4
Ti1 0.126 0.126 0.374 x16

## Properties
* formation enthalpy at 0 K: 124 kJ/mol of formula units
* electronic total energy: -7.27 eV per atom
* calculated volume: 128.9 Å³/f.u.

***

[4]
V2CdSb | PBE | optimized geometry

a = 6.667 Å, b = 6.667 Å, c = 6.667 Å
α = 90.00°, β = 90.00°, γ = 90.00°
Space group Fm-3m (No. 225)
Unique sites:
V1 0.250 0.250 0.250 x8
Cd1 0.000 0.000 0.000 x4
Sb1 0.000 0.000 0.500 x4

## Properties
* electronic total energy: -5.45 eV per atom
* calculated volume: 74.1 Å³/f.u.
* energy above the most stable polymorph in this dataset: 0 meV/atom
* raw formation energy: 142 kJ/mol of formula units

***

[5]
Hg3I | PBE | optimized geometry

a = 7.249 Å, b = 5.457 Å, c = 7.199 Å
α = 90.00°, β = 111.04°, γ = 90.00°
Space group C2/m (No. 12)
Unique sites:
Hg1 0.000 0.000 0.000 x2
Hg2 0.219 0.500 0.203 x4
I1 0.000 0.500 0.500 x2

## Properties
* electronic total energy: -0.70 eV per atom
* calculated volume: 132.9 Å³/f.u.
* energy above the most stable polymorph in this dataset: 14 meV/atom
* raw formation energy: -34 kJ/mol of formula units

***

[6]
Pr2AsPt | PBE | optimized geometry

a = 4.2000 Å, b = 4.2000 Å, c = 21.9343 Å
α = 90.00°, β = 90.00°, γ = 120.00°
Space group R3m (No. 160, hexagonal axes)
Unique sites:
Pr1 0.0000 0.0000 0.0000 x3
Pr2 0.0000 0.0000 0.1697 x3
As1 0.0000 0.0000 0.5862 x3
Pt1 0.0000 0.0000 0.7515 x3

## Properties
* formation enthalpy at 0 K: -433 kJ/mol of formula units
* electronic total energy: -6.18 eV per atom
* calculated volume: 111.7 Å³/f.u.
* energy above the most stable polymorph in this dataset: 114 meV/atom

***

[7]
La4Ag3Ir | PBE | optimized geometry

a = 3.723 Å, b = 3.723 Å, c = 15.417 Å
α = 90.00°, β = 90.00°, γ = 90.00°
Space group P4/mmm (No. 123)
Unique sites:
La1 0.000 0.000 0.108 x2
La2 0.000 0.000 0.370 x2
Ag1 0.500 0.500 0.245 x2
Ag2 0.500 0.500 0.500 x1
Ir1 0.500 0.500 0.000 x1

## Properties
* formation enthalpy at 0 K: -284 kJ/mol of formula units
* electronic total energy: -5.01 eV per atom
* calculated volume: 213.7 Å³/f.u.

***

[8]
BeNiRu2 | PBE | optimized geometry

a = 2.6581 Å, b = 2.6581 Å, c = 23.8108 Å
α = 90.00°, β = 90.00°, γ = 120.00°
Space group R3m (No. 160, hexagonal axes)
Unique sites:
Be1 0.0000 0.0000 0.0000 x3
Ni1 0.0000 0.0000 0.2610 x3
Ru1 0.0000 0.0000 0.5043 x3
Ru2 0.0000 0.0000 0.7474 x3

## Properties
* formation enthalpy at 0 K: 27 kJ/mol of formula units
* electronic total energy: -6.95 eV per atom
* calculated volume: 48.6 Å³/f.u.